# 1
Here is a geometry-optimized BaPt3O structure from the Alexandria database. Energies are from PBE.

Density of states at the Fermi level (states/eV/cell): 11.63
Polymorph energy (0 for the lowest one) (kJ/mol of formula units): 1065.5
Total moment (μB per cell): 0.0
Volume (A^3/atom): 32.0
ΔE_f (raw) (eV/atom): 2.273

Cell lengths 5.426, 5.426, 5.426 Å; angles 90.00, 90.00, 90.00 degrees
Space group Pm-3m (No. 221)
Unique sites:
1 Ba 0.000 0.000 0.000 (multiplicity 1)
2 Pt 0.000 0.000 0.500 (multiplicity 3)
3 O 0.500 0.500 0.500 (multiplicity 1)


# 2
Here is a geometry-optimized BaPtO structure from the Alexandria database. Energies are from PBE.

Density of states at the Fermi level (states/eV/cell): 0.00
Total moment (μB per cell): 0.0
Volume (A^3/atom): 21.6
ΔE_f (raw) (eV/atom): -1.367

Cell lengths 4.006, 8.276, 7.826 Å; angles 90.00, 90.00, 90.00 degrees
Space group Amm2 (No. 38)
Unique sites:
1 Ba 0.000 0.217 0.000 (multiplicity 4)
2 Pt 0.500 0.000 0.333 (multiplicity 2)
3 Pt 0.500 0.000 0.674 (multiplicity 2)
4 O 0.000 0.000 0.280 (multiplicity 2)
5 O 0.500 0.000 0.934 (multiplicity 2)


# 3
Here is a geometry-optimized BaPt3O structure from the Alexandria database. Energies are from PBE.

Density of states at the Fermi level (states/eV/cell): 5.27
Polymorph energy (0 for the lowest one) (kJ/mol of formula units): 0.0
Total moment (μB per cell): 0.0
Volume (A^3/atom): 19.1
ΔE_f (raw) (eV/atom): 0.064

Cell lengths 4.573, 4.573, 4.573 Å; angles 90.00, 90.00, 90.00 degrees
Space group Pm-3m (No. 221)
Unique sites:
1 Ba 0.000 0.000 0.000 (multiplicity 1)
2 Pt 0.000 0.500 0.500 (multiplicity 3)
3 O 0.500 0.500 0.500 (multiplicity 1)


# 4
Here is a geometry-optimized Ba2PuPt3O12 structure from the Alexandria database. Energies are from PBE.

Density of states at the Fermi level (states/eV/cell): 31.15
Total moment (μB per cell): 6.2
Volume (A^3/atom): 15.2
ΔE_f (raw) (eV/atom): -1.464

Cell lengths 7.1841, 7.1841, 18.4158 Å; angles 90.00, 90.00, 120.00 degrees
Space group R-3m (No. 166, hexagonal axes)
Unique sites:
1 Ba 0.0000 0.0000 0.1037 (multiplicity 6)
2 Pu 0.0000 0.0000 0.5000 (multiplicity 3)
3 Pt 0.0000 0.5000 0.0000 (multiplicity 9)
4 O 0.0435 0.5218 0.3578 (multiplicity 18)
5 O 0.0608 0.5304 0.1065 (multiplicity 18)


# 5
Here is a geometry-optimized Ba2PuPtO6 structure from the Alexandria database. Energies are from PBE.

Density of states at the Fermi level (states/eV/cell): 4.51
Total moment (μB per cell): 4.0
Volume (A^3/atom): 16.8
ΔE_f (raw) (eV/atom): -2.324

Cell lengths 11.520, 5.793, 5.472 Å; angles 90.00, 112.91, 90.00 degrees
Space group C2/m (No. 12)
Unique sites:
1 Ba 0.234 0.000 0.215 (multiplicity 4)
2 Pu 0.000 0.500 0.000 (multiplicity 2)
3 Pt 0.000 0.000 0.500 (multiplicity 2)
4 O 0.062 0.239 0.792 (multiplicity 8)
5 O 0.176 0.500 0.255 (multiplicity 4)


# 6
Here is a geometry-optimized Ba2Pu3PtO12 structure from the Alexandria database. Energies are from PBE.

Density of states at the Fermi level (states/eV/cell): 32.44
Total moment (μB per cell): 24.0
Volume (A^3/atom): 17.7
ΔE_f (raw) (eV/atom): -2.351

Cell lengths 7.8626, 7.8626, 17.8672 Å; angles 90.00, 90.00, 120.00 degrees
Space group R-3m (No. 166, hexagonal axes)
Unique sites:
1 Ba 0.0000 0.0000 0.1700 (multiplicity 6)
2 Pu 0.0000 0.5000 0.0000 (multiplicity 9)
3 Pt 0.0000 0.0000 0.5000 (multiplicity 3)
4 O 0.0777 0.5388 0.1100 (multiplicity 18)
5 O 0.0861 0.5431 0.3712 (multiplicity 18)


# 7
Here is a geometry-optimized BaPuPt2O8 structure from the Alexandria database. Energies are from PBE.

Density of states at the Fermi level (states/eV/cell): 9.00
Total moment (μB per cell): 2.1
Volume (A^3/atom): 16.9
ΔE_f (raw) (eV/atom): -1.008

Cell lengths 5.7758, 5.7758, 7.0204 Å; angles 90.00, 90.00, 120.00 degrees
Space group P-3m1 (No. 164)
Unique sites:
1 Ba 0.0000 0.0000 0.0000 (multiplicity 1)
2 Pu 0.0000 0.0000 0.5000 (multiplicity 1)
3 Pt 0.3333 0.6667 0.4975 (multiplicity 2)
4 O 0.1646 0.3293 0.3213 (multiplicity 6)
5 O 0.3333 0.6667 0.7562 (multiplicity 2)


# 8
Here is a geometry-optimized Rb2BaPtO4 structure from the Alexandria database. Energies are from PBE.

Density of states at the Fermi level (states/eV/cell): 60.24
Total moment (μB per cell): 15.7
Volume (A^3/atom): 38.3
ΔE_f (raw) (eV/atom): -1.091

Cell lengths 6.929, 14.580, 24.264 Å; angles 90.00, 90.00, 90.00 degrees
Space group Fddd (No. 70, origin choice 2)
Unique sites:
1 Rb 0.125 0.125 0.320 (multiplicity 16)
2 Ba 0.125 0.125 0.125 (multiplicity 8)
3 Pt 0.125 0.125 0.625 (multiplicity 8)
4 O 0.074 0.279 0.876 (multiplicity 32)


Please write out number 8 again, unchanged.
Here is a geometry-optimized Rb2BaPtO4 structure from the Alexandria database. Energies are from PBE.

Density of states at the Fermi level (states/eV/cell): 60.24
Total moment (μB per cell): 15.7
Volume (A^3/atom): 38.3
ΔE_f (raw) (eV/atom): -1.091

Cell lengths 6.929, 14.580, 24.264 Å; angles 90.00, 90.00, 90.00 degrees
Space group Fddd (No. 70, origin choice 2)
Unique sites:
1 Rb 0.125 0.125 0.320 (multiplicity 16)
2 Ba 0.125 0.125 0.125 (multiplicity 8)
3 Pt 0.125 0.125 0.625 (multiplicity 8)
4 O 0.074 0.279 0.876 (multiplicity 32)


What did the third record say?
Here is a geometry-optimized BaPt3O structure from the Alexandria database. Energies are from PBE.

Density of states at the Fermi level (states/eV/cell): 5.27
Polymorph energy (0 for the lowest one) (kJ/mol of formula units): 0.0
Total moment (μB per cell): 0.0
Volume (A^3/atom): 19.1
ΔE_f (raw) (eV/atom): 0.064

Cell lengths 4.573, 4.573, 4.573 Å; angles 90.00, 90.00, 90.00 degrees
Space group Pm-3m (No. 221)
Unique sites:
1 Ba 0.000 0.000 0.000 (multiplicity 1)
2 Pt 0.000 0.500 0.500 (multiplicity 3)
3 O 0.500 0.500 0.500 (multiplicity 1)